NaSr14Li PBE relaxed; E_form = 0.5 eV/f.u.; spin magnetization = 0.000 μB/f.u.; Fermi-level density of states = 14.16 states/eV/cell
1.0
-6.7094 2.4728 -4.4089
2.1144 -5.2838 -6.1790
-6.4428 -8.4812 5.0479
Sr Li Na
14 1 1
Direct
0.6232 0.1268 0.2586
0.1269 0.1269 0.7414
0.6231 0.6231 0.7414
0.6231 0.6231 0.2586
0.1268 0.6232 0.7414
0.3750 0.3750 0.0000
0.8750 0.3750 0.0000
0.3750 0.8750 0.0000
0.8750 0.8750 0.0000
0.1268 0.6232 0.2586
0.3750 0.8750 0.5000
0.8750 0.3750 0.5000
0.1269 0.1269 0.2586
0.6232 0.1268 0.7414
0.3750 0.3750 0.5000
0.8750 0.8750 0.5000